(1)
8
Lattice="-7.126 7.126 2.362 7.126 -7.126 2.362 7.126 7.126 -2.362" Properties=species:S:1:pos:R:3 comment="Cs2ZrBe, relaxed, DFT PBE-GGA" formation_energy_ev_per_atom=1.2329 sg="I-42d (122)" rho_kg_m3=2534 pbc="T T T"
Cs 1.033 3.563 0.591
Cs -3.563 6.092 1.772
Cs -1.033 10.688 0.591
Cs 3.563 8.159 1.772
Zr 7.126 0.000 1.181
Zr 0.000 0.000 2.362
Be 0.000 0.000 0.000
Be 0.000 7.126 1.181

(2)
5
Lattice="7.262 0.000 0.000 0.000 7.262 0.000 0.000 0.000 7.262" Properties=species:S:1:pos:R:3 comment="Cs3ZrBe, relaxed, DFT PBE-GGA" formation_energy_ev_per_atom=1.4978 sg="Pm-3m (221)" rho_kg_m3=2163 pbc="T T T"
Cs 0.000 0.000 3.631
Cs 0.000 3.631 0.000
Cs 3.631 0.000 0.000
Zr 0.000 0.000 0.000
Be 3.631 3.631 3.631

(3)
4
Lattice="0.000 4.477 4.477 4.477 0.000 4.477 4.477 4.477 0.000" Properties=species:S:1:pos:R:3 comment="Cs2ZrBe, relaxed, DFT PBE-GGA" formation_energy_ev_per_atom=1.6577 sg="Fm-3m (225)" rho_kg_m3=3386 pbc="T T T"
Cs 2.239 2.239 2.239
Cs 6.716 6.716 6.716
Zr 0.000 0.000 0.000
Be 4.477 4.477 4.477

(4)
8
Lattice="-4.088 4.088 1.223 4.088 -4.088 1.223 4.088 4.088 -1.223" Properties=species:S:1:pos:R:3 comment="BeCu, relaxed, DFT PBE-GGA" formation_energy_ev_per_atom=0.0177 sg="I4/m (87)" rho_kg_m3=5894 pbc="T T T"
Be 2.808 0.359 0.000
Be 3.729 -1.280 1.223
Be 0.359 5.368 0.000
Be 1.280 3.729 1.223
Cu 3.024 2.677 0.000
Cu 1.411 -1.064 1.223
Cu 2.677 5.152 0.000
Cu 1.064 1.411 1.223

(5)
29
Lattice="-4.207 4.207 4.207 4.207 -4.207 4.207 4.207 4.207 -4.207" Properties=species:S:1:pos:R:3 comment="Be12Cu17, relaxed, DFT PBE-GGA" formation_energy_ev_per_atom=-0.0267 sg="I-43m (217)" rho_kg_m3=6625 pbc="T T T"
Be 2.346 0.772 -0.772
Be 2.346 -0.772 0.772
Be 6.068 0.772 0.772
Be 0.772 2.346 -0.772
Be 0.772 -0.772 2.346
Be -0.772 2.346 0.772
Be -0.772 0.772 2.346
Be 3.436 3.436 1.861
Be 3.436 1.861 3.436
Be 0.772 6.068 0.772
Be 0.772 0.772 6.068
Be 1.861 3.436 3.436
Cu 0.000 0.000 0.000
Cu 2.766 2.766 -2.766
Cu 4.569 1.202 -1.202
Cu 2.766 -2.766 2.766
Cu 4.569 -1.202 1.202
Cu 3.845 1.202 1.202
Cu 3.005 3.005 -0.362
Cu 3.005 -0.362 3.005
Cu 1.441 1.441 1.441
Cu 1.202 4.569 -1.202
Cu 1.202 -1.202 4.569
Cu 1.202 3.845 1.202
Cu 1.202 1.202 3.845
Cu -2.766 2.766 2.766
Cu -1.202 4.569 1.202
Cu -1.202 1.202 4.569
Cu -0.362 3.005 3.005

(6)
12
Lattice="6.347 0.000 0.000 -3.174 5.497 0.000 0.000 0.000 3.747" Properties=species:S:1:pos:R:3 comment="BeCu, relaxed, DFT PBE-GGA" formation_energy_ev_per_atom=0.1264 sg="P6_3/m (176)" rho_kg_m3=5530 pbc="T T T"
Be -0.447 1.246 0.937
Be -1.871 5.261 0.937
Be 0.855 1.010 2.810
Be 2.318 4.486 0.937
Be 5.044 0.235 2.810
Be 3.621 4.251 2.810
Cu -0.852 2.501 2.810
Cu -0.582 4.985 2.810
Cu 1.740 1.988 0.937
Cu 1.434 3.508 2.810
Cu 3.755 0.512 0.937
Cu 4.026 2.996 0.937

(7)
3
Lattice="3.676 0.000 0.000 -1.838 3.183 0.000 0.000 0.000 2.374" Properties=species:S:1:pos:R:3 comment="Be2Cu, relaxed, DFT PBE-GGA" formation_energy_ev_per_atom=-0.0120 sg="P6/mmm (191)" rho_kg_m3=4876 pbc="T T T"
Be 0.000 2.122 0.000
Be 1.838 1.061 0.000
Cu 0.000 0.000 1.187

(8)
9
Lattice="-1.365 4.014 4.142 1.365 -4.014 4.142 1.365 4.014 -4.142" Properties=species:S:1:pos:R:3 comment="Be4Cu5, relaxed, DFT PBE-GGA" formation_energy_ev_per_atom=-0.0526 sg="Immm (71)" rho_kg_m3=6469 pbc="T T T"
Be 1.365 -2.620 2.747
Be 0.000 1.395 1.395
Be 1.365 2.620 2.747
Be 0.000 6.634 1.395
Cu 1.365 0.000 0.000
Cu 1.365 0.000 2.580
Cu 1.365 2.590 0.000
Cu 0.000 1.425 4.142
Cu 0.000 4.014 1.562

(9)
18
Lattice="6.645 0.000 0.000 -3.323 5.755 0.000 0.000 0.000 4.602" Properties=species:S:1:pos:R:3 comment="Be5Cu4, relaxed, DFT PBE-GGA" formation_energy_ev_per_atom=-0.0374 sg="P6_3/mcm (193)" rho_kg_m3=5648 pbc="T T T"
Be -1.017 1.761 1.150
Be -2.306 3.994 3.451
Be 2.033 0.000 1.150
Be 1.017 1.761 3.451
Be 0.000 3.837 0.000
Be 0.000 3.837 2.301
Be 3.323 1.918 0.000
Be 3.323 1.918 2.301
Be 4.612 0.000 3.451
Be 2.306 3.994 1.150
Cu 0.000 0.000 0.000
Cu 0.000 0.000 2.301
Cu -1.219 2.112 3.451
Cu -2.103 3.643 1.150
Cu 2.438 0.000 3.451
Cu 1.219 2.112 1.150
Cu 4.207 0.000 1.150
Cu 2.103 3.643 3.451

(10)
6
Lattice="2.437 0.000 0.000 -1.219 2.111 0.000 0.000 0.000 11.162" Properties=species:S:1:pos:R:3 comment="Be2Cu, relaxed, DFT PBE-GGA" formation_energy_ev_per_atom=0.0335 sg="P6_3/mmc (194)" rho_kg_m3=4717 pbc="T T T"
Be 0.000 1.407 0.886
Be 0.000 1.407 4.695
Be 1.219 0.704 6.467
Be 1.219 0.704 10.276
Cu 0.000 1.407 8.372
Cu 1.219 0.704 2.791

(11)
7
Lattice="4.357 0.000 0.000 0.000 4.357 0.000 0.000 0.000 4.357" Properties=species:S:1:pos:R:3 comment="Be4Cu3, relaxed, DFT PBE-GGA" formation_energy_ev_per_atom=0.6134 sg="P-43m (215)" rho_kg_m3=4552 pbc="T T T"
Be 0.730 0.730 3.627
Be 0.730 3.627 0.730
Be 3.627 0.730 0.730
Be 3.627 3.627 3.627
Cu 0.000 2.178 2.178
Cu 2.178 0.000 2.178
Cu 2.178 2.178 0.000

(12)
15
Lattice="4.528 0.000 0.000 0.912 5.910 0.000 0.325 1.031 6.476" Properties=species:S:1:pos:R:3 comment="Be2Cu13, relaxed, DFT PBE-GGA" formation_energy_ev_per_atom=0.0352 sg="P-1 (2)" rho_kg_m3=8089 pbc="T T T"
Be 0.982 1.850 0.056
Be 4.783 5.091 6.420
Cu 0.387 1.134 5.253
Cu 1.501 5.143 3.513
Cu 1.290 3.339 1.755
Cu 2.395 4.763 5.806
Cu 2.200 2.645 4.195
Cu 1.960 0.955 2.228
Cu 2.264 0.000 0.000
Cu 3.804 5.986 4.247
Cu 3.565 4.296 2.281
Cu 3.370 2.178 0.670
Cu 4.475 3.602 4.721
Cu 4.264 1.798 2.963
Cu 5.377 5.807 1.223

(13)
6
Lattice="4.042 -1.310 0.000 4.042 1.310 0.000 -1.822 0.000 5.255" Properties=species:S:1:pos:R:3 comment="Be2Cu, relaxed, DFT PBE-GGA" formation_energy_ev_per_atom=-0.0359 sg="C2/m (12)" rho_kg_m3=4866 pbc="T T T"
Be 0.000 0.000 0.000
Be -0.911 0.000 2.628
Be 1.529 0.000 3.457
Be 4.733 0.000 1.798
Cu 2.387 0.000 0.999
Cu 3.875 0.000 4.256

(14)
7
Lattice="-1.327 1.327 9.493 1.327 -1.327 9.493 1.327 1.327 -9.493" Properties=species:S:1:pos:R:3 comment="Be4Cu3, relaxed, DFT PBE-GGA" formation_energy_ev_per_atom=-0.0617 sg="I4/mmm (139)" rho_kg_m3=5632 pbc="T T T"
Be 0.000 0.000 1.356
Be 0.000 0.000 6.959
Be 0.000 0.000 12.026
Be 0.000 0.000 17.629
Cu 0.000 0.000 3.857
Cu 0.000 0.000 9.493
Cu 0.000 0.000 15.128

(15)
3
Lattice="3.793 0.000 0.000 0.000 3.793 0.000 0.000 0.000 2.398" Properties=species:S:1:pos:R:3 comment="Be2Cu, relaxed, DFT PBE-GGA" formation_energy_ev_per_atom=0.2470 sg="P4/mmm (123)" rho_kg_m3=3927 pbc="T T T"
Be 0.000 1.896 0.000
Be 1.896 0.000 0.000
Cu 0.000 0.000 1.199

(16)
12
Lattice="-1.631 1.631 10.456 1.631 -1.631 10.456 1.631 1.631 -10.456" Properties=species:S:1:pos:R:3 comment="Be2Cu, relaxed, DFT PBE-GGA" formation_energy_ev_per_atom=-0.0399 sg="I4_1/amd (141)" rho_kg_m3=4867 pbc="T T T"
Be 1.631 0.816 -2.614
Be 1.631 0.816 0.904
Be 0.000 0.816 2.614
Be 1.631 0.816 4.324
Be 0.000 0.816 6.132
Be 1.631 0.816 7.842
Be 0.000 0.816 9.552
Be 0.000 0.816 13.070
Cu 1.631 -0.816 6.182
Cu 1.631 -0.816 9.501
Cu 0.000 2.447 0.954
Cu 0.000 2.447 4.274

(17)
4
Lattice="3.807 0.000 0.000 -1.904 3.297 0.000 0.000 0.000 4.319" Properties=species:S:1:pos:R:3 comment="BeCu, relaxed, DFT PBE-GGA" formation_energy_ev_per_atom=0.6307 sg="P6_3/mmc (194)" rho_kg_m3=4445 pbc="T T T"
Be 0.000 2.198 1.080
Be 1.904 1.099 3.239
Cu 0.000 2.198 3.239
Cu 1.904 1.099 1.080

(18)
12
Lattice="-3.704 3.704 2.249 3.704 -3.704 2.249 3.704 3.704 -2.249" Properties=species:S:1:pos:R:3 comment="Be7Cu5, relaxed, DFT PBE-GGA" formation_energy_ev_per_atom=0.1537 sg="I4mm (107)" rho_kg_m3=5124 pbc="T T T"
Be 0.000 0.000 0.000
Be 3.704 1.945 -1.149
Be 3.704 0.000 0.034
Be 1.945 3.704 -1.149
Be 1.759 0.000 1.099
Be 0.000 1.759 1.099
Be 0.000 3.704 0.034
Cu 1.477 1.477 -0.841
Cu 2.226 -2.226 1.408
Cu 0.000 0.000 2.355
Cu -2.226 2.226 1.408
Cu 2.226 2.226 1.408

(19)
4
Lattice="4.102 0.000 0.000 0.000 4.102 0.000 0.000 0.000 4.102" Properties=species:S:1:pos:R:3 comment="Be3Cu, relaxed, DFT PBE-GGA" formation_energy_ev_per_atom=0.9968 sg="Pm-3m (221)" rho_kg_m3=2180 pbc="T T T"
Be 0.000 0.000 2.051
Be 0.000 2.051 0.000
Be 2.051 0.000 0.000
Cu 0.000 0.000 0.000

(20)
8
Lattice="3.746 0.000 0.000 0.000 4.785 0.000 0.000 0.000 3.988" Properties=species:S:1:pos:R:3 comment="Be3Cu, relaxed, DFT PBE-GGA" formation_energy_ev_per_atom=-0.0590 sg="Pmmn (59)" rho_kg_m3=4209 pbc="T T T"
Be 0.936 0.016 0.682
Be 0.936 2.377 0.682
Be 0.936 3.589 2.732
Be 2.809 1.196 1.255
Be 2.809 2.409 3.306
Be 2.809 4.769 3.306
Cu 0.936 1.196 2.667
Cu 2.809 3.589 1.320